# Pm6IrRu2 | Alexandria via LeMat-Bulk | PBE-GGA | relaxed
data_Pm6IrRu2
_cell_length_a 12.397
_cell_length_b 5.319
_cell_length_c 9.052
_cell_angle_alpha 90.00
_cell_angle_beta 114.41
_cell_angle_gamma 90.00
_symmetry_space_group_name_H-M 'C 1 2/m 1'
_symmetry_Int_Tables_number 12
loop_
_symmetry_equiv_pos_as_xyz
'x,y,z'
'-x,-y,-z'
'-x,y,-z'
'x,-y,z'
'x+1/2,y+1/2,z'
'-x+1/2,-y+1/2,-z'
'-x+1/2,y+1/2,-z'
'x+1/2,-y+1/2,z'
loop_
_atom_site_label
_atom_site_fract_x
_atom_site_fract_y
_atom_site_fract_z
Pm1 0.001 0.000 0.202
Pm2 0.149 0.500 0.566
Pm3 0.191 0.500 0.112
Ir1 0.000 0.000 0.500
Ru1 0.197 0.000 0.116
# **Calculated volume**: 543 Å³ per cell
# **Energy**: -6.38 eV per atom
# **Density of states at the Fermi level**: 11.62 states/eV/cell
# **DFT formation energy**: -0.166 eV/atom
# **Energy relative to the lowest polymorph listed for this composition**: 13.0 kJ per mole of atoms

# TbPmGaRh | Alexandria via LeMat-Bulk | PBE-GGA | relaxed
data_TbPmGaRh
_cell_length_a 7.128
_cell_length_b 7.128
_cell_length_c 7.128
_cell_angle_alpha 90.00
_cell_angle_beta 90.00
_cell_angle_gamma 90.00
_symmetry_space_group_name_H-M 'F -4 3 m'
_symmetry_Int_Tables_number 216
_symmetry_space_group_name_Hall 'F -4 2 3'
loop_
_atom_site_label
_atom_site_fract_x
_atom_site_fract_y
_atom_site_fract_z
Tb1 0.000 0.000 0.000
Pm1 0.000 0.000 0.500
Ga1 0.250 0.250 0.750
Rh1 0.250 0.250 0.250
# **Calculated volume**: 362 Å³ per cell
# **Energy**: -5.55 eV per atom
# **Density of states at the Fermi level**: 14.42 states/eV/cell
# **DFT formation energy**: -0.609 eV/atom
# **Energy relative to the lowest polymorph listed for this composition**: 8.5 kJ per mole of atoms

# LiHgIr2 | Alexandria via LeMat-Bulk | PBE-GGA | relaxed
data_LiHgIr2
_cell_length_a 2.7176
_cell_length_b 2.7176
_cell_length_c 30.5431
_cell_angle_alpha 90.00
_cell_angle_beta 90.00
_cell_angle_gamma 120.00
_symmetry_space_group_name_H-M 'R -3 m'
_symmetry_Int_Tables_number 166
_symmetry_space_group_name_Hall '-R 3 2"'
loop_
_atom_site_label
_atom_site_fract_x
_atom_site_fract_y
_atom_site_fract_z
Li1 0.0000 0.0000 0.0000
Hg1 0.0000 0.0000 0.5000
Ir1 0.0000 0.0000 0.2611
# **Calculated volume**: 195 Å³ per cell
# **Energy**: -4.69 eV per atom
# **Density of states at the Fermi level**: 6.40 states/eV/cell
# **DFT formation energy**: 0.290 eV/atom

# KErTi2O6 | Alexandria via LeMat-Bulk | PBE-GGA | relaxed
data_KErTi2O6
_cell_length_a 11.086
_cell_length_b 10.400
_cell_length_c 6.363
_cell_angle_alpha 90.00
_cell_angle_beta 111.01
_cell_angle_gamma 90.00
_symmetry_space_group_name_H-M 'C 1 2/c 1'
_symmetry_Int_Tables_number 15
loop_
_symmetry_equiv_pos_as_xyz
'x,y,z'
'-x,-y,-z'
'-x,y,-z+1/2'
'x,-y,z+1/2'
'x+1/2,y+1/2,z'
'-x+1/2,-y+1/2,-z'
'-x+1/2,y+1/2,-z+1/2'
'x+1/2,-y+1/2,z+1/2'
loop_
_atom_site_label
_atom_site_fract_x
_atom_site_fract_y
_atom_site_fract_z
K1 0.000 0.094 0.250
Er1 0.000 0.276 0.750
Ti1 0.203 0.421 0.164
O1 0.100 0.288 0.119
O2 0.131 0.129 0.709
O3 0.158 0.457 0.851
# **Calculated volume**: 685 Å³ per cell
# **Energy**: -8.10 eV per atom
# **Density of states at the Fermi level**: 0.00 states/eV/cell
# **Formation energy without anion corrections**: -29.78 eV/f.u.

# SmPuMgHg | Alexandria via LeMat-Bulk | PBE-GGA | relaxed
data_SmPuMgHg
_cell_length_a 7.591
_cell_length_b 7.591
_cell_length_c 7.591
_cell_angle_alpha 90.00
_cell_angle_beta 90.00
_cell_angle_gamma 90.00
_symmetry_space_group_name_H-M 'F -4 3 m'
_symmetry_Int_Tables_number 216
_symmetry_space_group_name_Hall 'F -4 2 3'
loop_
_atom_site_label
_atom_site_fract_x
_atom_site_fract_y
_atom_site_fract_z
Sm1 0.000 0.000 0.000
Pu1 0.000 0.000 0.500
Mg1 0.250 0.250 0.750
Hg1 0.250 0.250 0.250
# **Calculated volume**: 437 Å³ per cell
# **Energy**: -5.30 eV per atom
# **Density of states at the Fermi level**: 43.56 states/eV/cell
# **DFT formation energy**: -0.066 eV/atom

# La2NdSi2 | Alexandria via LeMat-Bulk | PBE-GGA | relaxed
data_La2NdSi2
_cell_length_a 7.850
_cell_length_b 7.850
_cell_length_c 4.469
_cell_angle_alpha 90.00
_cell_angle_beta 90.00
_cell_angle_gamma 90.00
_symmetry_space_group_name_H-M 'P 4/m b m'
_symmetry_Int_Tables_number 127
_symmetry_space_group_name_Hall '-P 4 2ab'
loop_
_atom_site_label
_atom_site_fract_x
_atom_site_fract_y
_atom_site_fract_z
La1 0.177 0.323 0.000
Nd1 0.000 0.000 0.500
Si1 0.110 0.610 0.500
# **Calculated volume**: 275 Å³ per cell
# **Energy**: -5.74 eV per atom
# **Density of states at the Fermi level**: 10.87 states/eV/cell
# **Formation energy without anion corrections**: -3.21 eV/f.u.

# Dy3Mg2Ni3 | Alexandria via LeMat-Bulk | PBE-GGA | relaxed
data_Dy3Mg2Ni3
_cell_length_a 8.0965
_cell_length_b 8.0965
_cell_length_c 5.6524
_cell_angle_alpha 90.00
_cell_angle_beta 90.00
_cell_angle_gamma 120.00
_symmetry_space_group_name_H-M 'P 63/m c m'
_symmetry_Int_Tables_number 193
_symmetry_space_group_name_Hall '-P 6c 2'
loop_
_atom_site_label
_atom_site_fract_x
_atom_site_fract_y
_atom_site_fract_z
Dy1 0.0000 0.2693 0.2500
Mg1 0.3333 0.6667 0.0000
Ni1 0.0000 0.3928 0.7500
# **Calculated volume**: 321 Å³ per cell
# **Energy**: -4.61 eV per atom
# **Density of states at the Fermi level**: 11.05 states/eV/cell
# **DFT formation energy**: -0.322 eV/atom

# Be3Fe5 | Alexandria via LeMat-Bulk | PBE-GGA | relaxed
data_Be3Fe5
_cell_length_a 6.3931
_cell_length_b 6.3931
_cell_length_c 4.4619
_cell_angle_alpha 90.00
_cell_angle_beta 90.00
_cell_angle_gamma 120.00
_symmetry_space_group_name_H-M 'P 63/m c m'
_symmetry_Int_Tables_number 193
_symmetry_space_group_name_Hall '-P 6c 2'
loop_
_atom_site_label
_atom_site_fract_x
_atom_site_fract_y
_atom_site_fract_z
Be1 0.0000 0.4037 0.2500
Fe1 0.0000 0.2397 0.7500
Fe2 0.3333 0.6667 0.0000
# **Calculated volume**: 158 Å³ per cell
# **Energy**: -6.78 eV per atom
# **Density of states at the Fermi level**: 12.13 states/eV/cell
# **DFT formation energy**: -0.091 eV/atom
# **Energy relative to the lowest polymorph listed for this composition**: 4.2 kJ per mole of atoms